No. 1
DFT (PBE-GGA) results for an optimized crystal structure of KHg3MoS4.

Properties
M_tot ... 0.0 μB/f.u.
Uncorrected energy ... -3.4775 eV/atom
Volume ... 377.4 Å³ per cell
Symmetry ... P-43m

CIF file:
```
data_KHg3MoS4
_symmetry_space_group_name_H-M 'P 1'
_symmetry_Int_Tables_number 1
_cell_length_a 7.227
_cell_length_b 7.227
_cell_length_c 7.227
_cell_angle_alpha 90.00
_cell_angle_beta 90.00
_cell_angle_gamma 90.00
loop_
_symmetry_equiv_pos_as_xyz
'x,y,z'
loop_
_atom_site_label
_atom_site_fract_x
_atom_site_fract_y
_atom_site_fract_z
Hg1 0.500 0.500 0.000
Hg2 0.500 0.000 0.500
Hg3 0.000 0.500 0.500
K1 0.000 0.000 0.000
Mo1 0.500 0.500 0.500
S1 0.322 0.322 0.322
S2 0.678 0.678 0.322
S3 0.678 0.322 0.678
S4 0.322 0.678 0.678
```

=====

No. 2
DFT (PBE-GGA) results for an optimized crystal structure of KHgNO.

Properties
Uncorrected energy ... -2.8507 eV/atom
Distance to the lowest polymorph of the same formula ... 0.365 eV/atom
Volume ... 125.9 Å³ per cell
Symmetry ... P4/nmm

CIF file:
```
data_KHgNO
_symmetry_space_group_name_H-M 'P 1'
_symmetry_Int_Tables_number 1
_cell_length_a 5.060
_cell_length_b 5.060
_cell_length_c 4.916
_cell_angle_alpha 90.00
_cell_angle_beta 90.00
_cell_angle_gamma 90.00
loop_
_symmetry_equiv_pos_as_xyz
'x,y,z'
loop_
_atom_site_label
_atom_site_fract_x
_atom_site_fract_y
_atom_site_fract_z
Hg1 0.000 0.500 0.005
Hg2 0.500 0.000 0.995
K1 0.000 0.000 0.500
K2 0.500 0.500 0.500
N1 0.000 0.500 0.497
N2 0.500 0.000 0.503
O1 0.000 0.000 0.000
O2 0.500 0.500 0.000
```

=====

No. 3
DFT (PBE-GGA) results for an optimized crystal structure of KHgNO.

Properties
Uncorrected energy ... -3.2161 eV/atom
Distance to the lowest polymorph of the same formula ... 0.000 eV/atom
Volume ... 152.5 Å³ per cell
Symmetry ... Pmc2_1

CIF file:
```
data_KHgNO
_symmetry_space_group_name_H-M 'P 1'
_symmetry_Int_Tables_number 1
_cell_length_a 3.852
_cell_length_b 6.274
_cell_length_c 6.309
_cell_angle_alpha 90.00
_cell_angle_beta 90.00
_cell_angle_gamma 90.00
loop_
_symmetry_equiv_pos_as_xyz
'x,y,z'
loop_
_atom_site_label
_atom_site_fract_x
_atom_site_fract_y
_atom_site_fract_z
Hg1 0.500 0.001 0.254
Hg2 0.500 0.501 0.746
K1 0.000 0.503 0.198
K2 0.000 0.003 0.802
N1 0.000 0.997 0.357
N2 0.000 0.498 0.643
O1 0.500 0.252 0.003
O2 0.500 0.752 0.997
```

=====

No. 4
DFT (PBE-GGA) results for an optimized crystal structure of KHgNO.

Properties
Uncorrected energy ... -2.9846 eV/atom
Distance to the lowest polymorph of the same formula ... 0.231 eV/atom
Volume ... 182.5 Å³ per cell
Symmetry ... P4/nmm

CIF file:
```
data_KHgNO
_symmetry_space_group_name_H-M 'P 1'
_symmetry_Int_Tables_number 1
_cell_length_a 4.464
_cell_length_b 4.464
_cell_length_c 9.156
_cell_angle_alpha 90.00
_cell_angle_beta 90.00
_cell_angle_gamma 90.00
loop_
_symmetry_equiv_pos_as_xyz
'x,y,z'
loop_
_atom_site_label
_atom_site_fract_x
_atom_site_fract_y
_atom_site_fract_z
Hg1 0.750 0.250 0.500
Hg2 0.250 0.750 0.500
K1 0.250 0.250 0.144
K2 0.750 0.750 0.856
N1 0.250 0.250 0.472
N2 0.750 0.750 0.528
O1 0.750 0.250 0.000
O2 0.250 0.750 0.000
```

=====

No. 5
DFT (PBE-GGA) results for an optimized crystal structure of KHgNO.

Properties
Uncorrected energy ... -3.1062 eV/atom
Distance to the lowest polymorph of the same formula ... 0.110 eV/atom
Volume ... 164.9 Å³ per cell
Symmetry ... Pmc2_1

CIF file:
```
data_KHgNO
_symmetry_space_group_name_H-M 'P 1'
_symmetry_Int_Tables_number 1
_cell_length_a 3.576
_cell_length_b 6.651
_cell_length_c 6.933
_cell_angle_alpha 90.00
_cell_angle_beta 90.00
_cell_angle_gamma 90.00
loop_
_symmetry_equiv_pos_as_xyz
'x,y,z'
loop_
_atom_site_label
_atom_site_fract_x
_atom_site_fract_y
_atom_site_fract_z
Hg1 0.000 0.499 0.366
Hg2 0.000 0.999 0.634
K1 0.500 0.026 0.164
K2 0.500 0.526 0.836
N1 0.000 0.813 0.387
N2 0.000 0.313 0.613
O1 0.500 0.417 0.190
O2 0.500 0.917 0.810
```

=====

No. 6
DFT (PBE-GGA) results for an optimized crystal structure of KNaHg.

Properties
Uncorrected energy ... -1.0211 eV/atom
Distance to the lowest polymorph of the same formula ... 0.069 eV/atom
Volume ... 122.7 Å³ per cell
Symmetry ... F-43m

CIF file:
```
data_KNaHg
_symmetry_space_group_name_H-M 'P 1'
_symmetry_Int_Tables_number 1
_cell_length_a 5.578
_cell_length_b 5.578
_cell_length_c 5.578
_cell_angle_alpha 60.00
_cell_angle_beta 60.00
_cell_angle_gamma 60.00
loop_
_symmetry_equiv_pos_as_xyz
'x,y,z'
loop_
_atom_site_label
_atom_site_fract_x
_atom_site_fract_y
_atom_site_fract_z
Hg1 0.000 0.000 0.000
K1 0.250 0.250 0.250
Na1 0.750 0.750 0.750
```

=====

No. 7
DFT (PBE-GGA) results for an optimized crystal structure of KNaHg2.

Properties
Uncorrected energy ... -0.9817 eV/atom
Volume ... 263.9 Å³ per cell
Symmetry ... P-1

CIF file:
```
data_KNaHg2
_symmetry_space_group_name_H-M 'P 1'
_symmetry_Int_Tables_number 1
_cell_length_a 6.105
_cell_length_b 6.742
_cell_length_c 6.850
_cell_angle_alpha 108.14
_cell_angle_beta 99.41
_cell_angle_gamma 90.10
loop_
_symmetry_equiv_pos_as_xyz
'x,y,z'
loop_
_atom_site_label
_atom_site_fract_x
_atom_site_fract_y
_atom_site_fract_z
Hg1 0.859 0.310 0.050
Hg2 0.208 0.103 0.300
Hg3 0.792 0.897 0.700
Hg4 0.141 0.690 0.950
K1 0.251 0.663 0.461
K2 0.749 0.337 0.539
Na1 0.670 0.796 0.128
Na2 0.330 0.204 0.872
```

=====

No. 8
DFT (PBE-GGA) results for an optimized crystal structure of KNaHg.

Properties
Uncorrected energy ... -1.0906 eV/atom
Distance to the lowest polymorph of the same formula ... 0.000 eV/atom
Volume ... 651.7 Å³ per cell
Symmetry ... Ima2

CIF file:
```
data_KNaHg
_symmetry_space_group_name_H-M 'P 1'
_symmetry_Int_Tables_number 1
_cell_length_a 10.008
_cell_length_b 10.008
_cell_length_c 10.008
_cell_angle_alpha 119.68
_cell_angle_beta 82.99
_cell_angle_gamma 128.83
loop_
_symmetry_equiv_pos_as_xyz
'x,y,z'
loop_
_atom_site_label
_atom_site_fract_x
_atom_site_fract_y
_atom_site_fract_z
Hg1 0.910 0.744 0.167
Hg2 0.242 0.493 0.249
Hg3 0.577 0.244 0.334
Hg4 0.910 0.243 0.666
Hg5 0.244 0.993 0.751
Hg6 0.577 0.743 0.833
K1 0.829 0.286 0.043
K2 0.656 0.906 0.250
K3 0.243 0.287 0.456
K4 0.832 0.787 0.544
K5 0.656 0.406 0.750
K6 0.243 0.786 0.957
Na1 0.003 0.003 0.000
Na2 0.484 0.365 0.121
Na3 0.243 0.865 0.381
Na4 0.003 0.503 0.500
Na5 0.484 0.862 0.619
Na6 0.243 0.362 0.879
```